(1)
Crystalline LiHfCoBi at its relaxed geometry. Source: OQMD, functional GGA-PBE.

SG	F-43m, No. 216
magnetization	0.9	μB per formula unit
distance to the lowest polymorph of the same formula	389	meV per atom

The structure in POSCAR format:
```
LiHfCoBi
1.0
0.000 3.306 3.306
3.306 0.000 3.306
3.306 3.306 0.000
Li Hf Co Bi
1 1 1 1
Direct
0.000 0.000 0.000
0.250 0.250 0.250
0.750 0.750 0.750
0.500 0.500 0.500
```

---

(2)
Crystalline LuHfCoBi at its relaxed geometry. Source: OQMD, functional GGA-PBE.

SG	F-43m, No. 216
magnetization	1.5	μB per formula unit
distance to the lowest polymorph of the same formula	0	meV per atom

The structure in POSCAR format:
```
LuHfCoBi
1.0
0.000 3.482 3.482
3.482 0.000 3.482
3.482 3.482 0.000
Lu Hf Co Bi
1 1 1 1
Direct
0.000 0.000 0.000
0.250 0.250 0.250
0.750 0.750 0.750
0.500 0.500 0.500
```

---

(3)
Crystalline HfMgCoBi at its relaxed geometry. Source: OQMD, functional GGA-PBE.

SG	F-43m, No. 216
magnetization	0.0	μB per formula unit
distance to the lowest polymorph of the same formula	0	meV per atom

The structure in POSCAR format:
```
HfMgCoBi
1.0
0.000 3.375 3.375
3.375 0.000 3.375
3.375 3.375 0.000
Hf Mg Co Bi
1 1 1 1
Direct
0.000 0.000 0.000
0.250 0.250 0.250
0.750 0.750 0.750
0.500 0.500 0.500
```

---

(4)
Crystalline HfMgCoBi at its relaxed geometry. Source: OQMD, functional GGA-PBE.

SG	F-43m, No. 216
magnetization	0.0	μB per formula unit
distance to the lowest polymorph of the same formula	154	meV per atom

The structure in POSCAR format:
```
HfMgCoBi
1.0
0.000 3.406 3.406
3.406 0.000 3.406
3.406 3.406 0.000
Hf Mg Co Bi
1 1 1 1
Direct
0.000 0.000 0.000
0.750 0.750 0.750
0.500 0.500 0.500
0.250 0.250 0.250
```

---

(5)
Crystalline Hf4CoBiN2 at its relaxed geometry. Source: OQMD, functional GGA-PBE.

SG	P-6m2, No. 187
magnetization	0.0	μB per formula unit
calculated total energy	-0.6808	Ry/atom

The structure in POSCAR format:
```
Hf4CoBiN2
1.0
3.237 0.000 0.000
-1.618 2.803 0.000
0.000 0.000 13.908
Hf Co Bi N
4 1 1 2
Direct
0.000 0.000 0.136
0.000 0.000 0.864
0.333 0.667 0.323
0.333 0.667 0.677
0.333 0.667 0.000
0.000 0.000 0.500
0.667 0.333 0.230
0.667 0.333 0.770
```

---

(6)
Crystalline HfCoBiPd at its relaxed geometry. Source: OQMD, functional GGA-PBE.

SG	F-43m, No. 216
magnetization	0.0	μB per formula unit
distance to the lowest polymorph of the same formula	0	meV per atom

The structure in POSCAR format:
```
HfCoBiPd
1.0
0.000 3.288 3.288
3.288 0.000 3.288
3.288 3.288 0.000
Hf Co Bi Pd
1 1 1 1
Direct
0.000 0.000 0.000
0.750 0.750 0.750
0.500 0.500 0.500
0.250 0.250 0.250
```